--- A ---
Below is TbPmAs after structural relaxation, with properties calculated at the PBE-GGA level.

abc: 4.901 4.901 4.901
angles: 60.00 60.00 60.00
Atoms (fractional coordinates):
As (0.250, 0.250, 0.250)
Tb (0.000, 0.000, 0.000)
Pm (0.500, 0.500, 0.500)

Results
Crystal system   cubic

***

--- B ---
Below is TbPmAs after structural relaxation, with properties calculated at the PBE-GGA level.

abc: 3.765 3.765 6.324
angles: 107.32 107.32 90.00
Site moments in Bohr magnetons follow the coordinates.
Atoms (fractional coordinates):
As (0.624, 0.624, 0.248)  0.00
Tb (0.253, 0.253, 0.507)  0.28
Pm (0.972, 0.972, 0.945)  0.21

Results
Crystal system   tetragonal

***

--- C ---
Below is TbPmAs after structural relaxation, with properties calculated at the PBE-GGA level.

abc: 3.785 3.810 11.546
angles: 80.50 90.00 90.00
Site moments in Bohr magnetons follow the coordinates.
Atoms (fractional coordinates):
As (0.250, 0.147, 0.707)  -0.01
As (0.750, 0.853, 0.293)  -0.01
Pm (0.250, 0.432, 0.136)  0.01
Pm (0.750, 0.568, 0.864)  0.01
Tb (0.750, 0.705, 0.590)  0.30
Tb (0.250, 0.295, 0.410)  0.30

Results
Crystal system   orthorhombic

***

What should be chosen as the most stable of them? Choose A.

***

--- A ---
Below is Pm5Te4As after structural relaxation, with properties calculated at the PBE-GGA level.

abc: 4.383 4.383 16.278
angles: 97.74 97.74 90.00
Atoms (fractional coordinates):
Pm (0.089, 0.089, 0.178)
Pm (0.500, 0.500, 0.000)
Pm (0.911, 0.911, 0.822)
Pm (0.291, 0.291, 0.582)
Pm (0.709, 0.709, 0.418)
Te (0.397, 0.397, 0.795)
Te (0.808, 0.808, 0.616)
Te (0.192, 0.192, 0.384)
Te (0.603, 0.603, 0.205)
As (0.000, 0.000, 0.000)

Results
Crystal system   tetragonal

***

--- B ---
Below is Pm5Te4As after structural relaxation, with properties calculated at the PBE-GGA level.

abc: 6.244 7.673 7.673
angles: 80.47 65.99 65.99
Atoms (fractional coordinates):
Pm (0.904, 0.373, 0.822)
Pm (0.277, 0.822, 0.627)
Pm (0.725, 0.178, 0.373)
Pm (0.098, 0.627, 0.178)
Pm (0.501, 0.000, 0.000)
Te (0.409, 0.398, 0.786)
Te (0.807, 0.786, 0.602)
Te (0.195, 0.214, 0.398)
Te (0.593, 0.602, 0.214)
As (0.001, 0.000, 0.000)

Results
Crystal system   tetragonal

***

What should be chosen as the most stable of them? Choose B.

***

--- A ---
Below is Pm3Te2As after structural relaxation, with properties calculated at the PBE-GGA level.

abc: 7.573 7.703 7.563
angles: 80.56 59.96 70.88
Atoms (fractional coordinates):
Pm (0.571, 0.227, 0.352)
Pm (0.721, 0.777, 0.000)
Pm (0.429, 0.773, 0.648)
Pm (0.077, 0.773, 0.352)
Pm (0.923, 0.227, 0.648)
Pm (0.279, 0.223, 0.000)
Te (0.000, 0.000, 0.000)
Te (0.500, 0.500, 0.000)
Te (0.839, 0.500, 0.321)
Te (0.161, 0.500, 0.679)
As (0.332, 0.000, 0.336)
As (0.668, 0.000, 0.664)

Results
Crystal system   monoclinic

***

--- B ---
Below is Pm3Te2As after structural relaxation, with properties calculated at the PBE-GGA level.

abc: 7.556 7.617 7.617
angles: 119.21 99.75 99.75
Atoms (fractional coordinates):
Pm (0.004, 0.209, 0.357)
Pm (0.504, 0.357, 0.209)
Pm (0.000, 0.500, 0.000)
Pm (0.996, 0.791, 0.643)
Pm (0.500, 0.000, 0.500)
Pm (0.496, 0.643, 0.791)
Te (0.250, 0.919, 0.081)
Te (0.250, 0.242, 0.758)
Te (0.750, 0.081, 0.919)
Te (0.750, 0.758, 0.242)
As (0.250, 0.589, 0.411)
As (0.750, 0.411, 0.589)

Results
Crystal system   monoclinic

***

What should be chosen as the most stable of them? Choose A.